Entry 1:
This record from Alexandria describes a geometry-optimized YZrHgC structure. The functional is PBE.

Properties
* DFT formation energy: -0.471 eV per atom

a b c (Å): 3.4599 3.4599 23.1474
angles (deg): 90.00 90.00 120.00
Last column: nearest neighbours and their distance in Å.
Space group R3m (No. 160, hexagonal axes)
Inequivalent atoms, fractional coordinates:
Y 0.0000 0.0000 0.0000 [3 per cell]  3 C 2.51
Zr 0.0000 0.0000 0.2193 [3 per cell]  3 C 2.29
Hg 0.0000 0.0000 0.7802 [3 per cell]  3 Zr 3.16, 3 Y 3.30, 6 Hg 3.46
C 0.0000 0.0000 0.6011 [3 per cell]  3 Zr 2.29, 3 Y 2.51


Entry 2:
This record from Alexandria describes a geometry-optimized Co2BiPt2 structure. The functional is PBE.

Properties
* energy relative to the lowest polymorph listed for this composition: 0.000 eV per atom
* DFT formation energy: 0.156 eV per atom

a b c (Å): 3.6031 3.6031 13.2783
angles (deg): 90.00 90.00 90.00
Last column: nearest neighbours and their distance in Å.
Space group I4/mmm (No. 139)
Inequivalent atoms, fractional coordinates:
Co 0.0000 0.5000 0.2500 [4 per cell]  4 Co 2.55, 4 Pt 2.57
Bi 0.0000 0.0000 0.0000 [2 per cell]  8 Pt 2.95
Pt 0.0000 0.0000 0.3882 [4 per cell]  4 Co 2.57


Entry 3:
This record from Alexandria describes a geometry-optimized ScGe structure. The functional is PBE.

Properties
* DFT formation energy: -0.173 eV per atom

a b c (Å): 8.2429 8.2429 5.4027
angles (deg): 90.00 90.00 90.00
Last column: nearest neighbours and their distance in Å.
Space group P4/m (No. 83)
Inequivalent atoms, fractional coordinates:
Sc 0.0727 0.3053 0.0000 [4 per cell]  5 Ge 2.75-2.98
Sc 0.1348 0.7604 0.5000 [4 per cell]  3 Ge 2.64-2.84
Ge 0.1444 0.4408 0.5000 [4 per cell]  1 Ge 2.57, 3 Sc 2.64-2.84
Ge 0.2637 0.5965 0.0000 [4 per cell]  3 Sc 2.75-2.89, 2 Ge 2.98


Entry 4:
This record from Alexandria describes a geometry-optimized Cs2Tl3InSn4 structure. The functional is PBE.

Properties
* DFT formation energy: -0.098 eV per atom

a b c (Å): 5.3613 5.3613 12.3532
angles (deg): 90.00 90.00 90.00
Last column: nearest neighbours and their distance in Å.
Space group P-4m2 (No. 115)
Inequivalent atoms, fractional coordinates:
Cs 0.0000 0.5000 0.2489 [2 per cell]  6 Tl 4.08, 2 In 4.08, 8 Sn 4.09-4.10
Tl 0.0000 0.0000 0.0000 [1 per cell]  4 Sn 3.09
Tl 0.0000 0.5000 0.6296 [2 per cell]  5 Sn 3.03-3.12
In 0.5000 0.5000 0.0000 [1 per cell]  4 Sn 3.09
Sn 0.0000 0.0000 0.5000 [1 per cell]  4 Tl 3.12
Sn 0.0000 0.5000 0.8752 [2 per cell]  3 Tl 3.03-3.09, 2 In 3.09
Sn 0.5000 0.5000 0.5000 [1 per cell]  4 Tl 3.12


Entry 5:
This record from Alexandria describes a geometry-optimized Sr2PrReN4 structure. The functional is PBE.

Properties
* formation energy (no corrections): -718 meV per atom

a b c (Å): 7.7597 7.1553 5.6584
angles (deg): 90.00 90.00 90.00
Last column: nearest neighbours and their distance in Å.
Space group Pmn2_1 (No. 31)
Inequivalent atoms, fractional coordinates:
Sr 0.2488 0.1549 0.0000 [4 per cell]  4 N 2.47-2.70
Pr 0.0000 0.6510 0.0095 [2 per cell]  4 N 2.33-2.52
Re 0.0000 0.3424 0.5444 [2 per cell]  4 N 1.85-1.88
N 0.0000 0.3447 0.8719 [2 per cell]  1 Re 1.85
N 0.0000 0.5946 0.4493 [2 per cell]  1 Re 1.88
N 0.2041 0.2181 0.4651 [4 per cell]  1 Re 1.87


Entry 6:
This record from Alexandria describes a geometry-optimized Sm2HoSb structure. The functional is PBE.

Properties
* energy relative to the lowest polymorph listed for this composition: 0.028 eV per atom
* formation energy (no corrections): -501 meV per atom

a b c (Å): 4.2027 4.2027 6.7606
angles (deg): 90.00 90.00 90.00
Last column: nearest neighbours and their distance in Å.
Space group P4/mmm (No. 123)
Inequivalent atoms, fractional coordinates:
Sm 0.0000 0.0000 0.2326 [2 per cell]  1 Sm 3.15, 4 Sb 3.36, 4 Ho 3.48
Ho 0.5000 0.5000 0.5000 [1 per cell]  2 Sb 3.38, 8 Sm 3.48
Sb 0.5000 0.5000 0.0000 [1 per cell]  8 Sm 3.36, 2 Ho 3.38


no.,total magnetization (μB per cell),total DFT energy (no corrections) (eV for the cell shown)
1,0.0,-79.3
2,8.3,-58.8
3,0.0,-90.4
4,0.0,-28.5
5,2.9,-119.3
6,0.0,-20.1